A relaxed structure of CeAsPd, computed with PBE.

a b c (Å): 3.3009 3.3009 7.3648
angles (deg): 102.95 102.95 90.00
Fractional coordinates of all 3 atoms:
As 0.9413 0.9413 0.8826
Pd 0.7649 0.7649 0.5299
Ce 0.1438 0.1438 0.2876

Calculated values
DOS(E_F) (states/eV per cell): 3.49
Space group: No. 107
Energy of formation (eV/atom): -0.11

=====

A relaxed structure of CeAsPd4, computed with PBE.

a b c (Å): 5.3645 5.3645 5.3645
angles (deg): 60.00 60.00 60.00
Fractional coordinates of all 6 atoms:
As 0.0000 0.0000 0.0000
Pd 0.6249 0.6249 0.1253
Pd 0.6249 0.1253 0.6249
Pd 0.6249 0.6249 0.6249
Pd 0.1253 0.6249 0.6249
Ce 0.2500 0.2500 0.2500

Calculated values
Polymorph energy (0 for the lowest one) (eV per formula unit): 0.81
DOS(E_F) (states/eV per cell): 7.50
Space group: No. 216
Energy of formation (eV/atom): -0.47

=====

A relaxed structure of CeAs2Pd3, computed with PBE.

a b c (Å): 4.3151 8.0899 7.5295
angles (deg): 117.46 90.00 105.47
Fractional coordinates of all 12 atoms:
Ce 0.8537 0.7075 0.9324
Ce 0.1463 0.2925 0.0676
As 0.4946 0.9892 0.8220
As 0.5054 0.0108 0.1780
As 0.8000 0.6000 0.2588
As 0.2000 0.4000 0.7412
Pd 0.3123 0.6245 0.5950
Pd 0.9431 0.8862 0.6233
Pd 0.6075 0.2150 0.6693
Pd 0.3925 0.7850 0.3307
Pd 0.0569 0.1138 0.3767
Pd 0.6877 0.3755 0.4050

Calculated values
Polymorph energy (0 for the lowest one) (eV per formula unit): 0.19
DOS(E_F) (states/eV per cell): 12.40
Space group: No. 12
Energy of formation (eV/atom): -0.76

=====

A relaxed structure of Ce2As7Pd12, computed with PBE.

a b c (Å): 4.1524 10.0940 10.0940
angles (deg): 120.00 90.00 90.00
Fractional coordinates of all 21 atoms:
Ce 0.2460 0.3333 0.6667
Ce 0.7540 0.6667 0.3333
As 0.5000 0.0000 0.0000
As 0.2558 0.8803 0.2915
As 0.2558 0.4112 0.1197
As 0.2558 0.7085 0.5888
As 0.7442 0.1197 0.7085
As 0.7442 0.5888 0.8803
As 0.7442 0.2915 0.4112
Pd 0.2526 0.6188 0.0542
Pd 0.2526 0.4354 0.3812
Pd 0.2526 0.9458 0.5646
Pd 0.7474 0.3812 0.9458
Pd 0.7474 0.5646 0.6188
Pd 0.7474 0.0542 0.4354
Pd 0.2270 0.1097 0.2536
Pd 0.2270 0.1439 0.8903
Pd 0.2270 0.7464 0.8561
Pd 0.7730 0.8903 0.7464
Pd 0.7730 0.8561 0.1097
Pd 0.7730 0.2536 0.1439

Calculated values
DOS(E_F) (states/eV per cell): 22.45
Space group: No. 147
Energy of formation (eV/atom): -0.61

=====

A relaxed structure of CeAs2Pd, computed with PBE.

a b c (Å): 5.1138 5.1138 4.6483
angles (deg): 56.63 56.63 60.00
Fractional coordinates of all 4 atoms:
As 0.2339 0.2339 0.2983
As 0.7661 0.7661 0.7017
Pd 0.0000 0.0000 0.0000
Ce 0.5000 0.5000 0.5000

Calculated values
DOS(E_F) (states/eV per cell): 6.25
Space group: No. 166
Energy of formation (eV/atom): -0.68

=====

A relaxed structure of CeAs3Pd5, computed with PBE.

a b c (Å): 3.9826 6.9625 12.4925
angles (deg): 90.00 90.00 106.62
Fractional coordinates of all 18 atoms:
Ce 0.8682 0.7363 0.7500
Ce 0.1318 0.2636 0.2500
As 0.3881 0.7762 0.9404
As 0.8697 0.7395 0.2500
As 0.3881 0.7762 0.5596
As 0.6119 0.2238 0.4404
As 0.1303 0.2605 0.7500
As 0.6119 0.2238 0.0596
Pd 0.7927 0.5854 0.4311
Pd 0.2073 0.4146 0.9311
Pd 0.0000 0.0000 0.5000
Pd 0.0000 0.0000 0.0000
Pd 0.4318 0.8636 0.1414
Pd 0.5682 0.1364 0.8586
Pd 0.5682 0.1364 0.6414
Pd 0.7927 0.5854 0.0689
Pd 0.2073 0.4146 0.5689
Pd 0.4318 0.8636 0.3586

Calculated values
DOS(E_F) (states/eV per cell): 20.67
Space group: No. 63
Energy of formation (eV/atom): -0.57

=====

A relaxed structure of CeAs2Pd2, computed with PBE.

a b c (Å): 6.1723 6.1723 6.1723
angles (deg): 139.99 139.99 57.86
Fractional coordinates of all 5 atoms:
Ce 0.0000 0.0000 0.0000
As 0.6170 0.6170 0.0000
As 0.3830 0.3830 0.0000
Pd 0.2500 0.7500 0.5000
Pd 0.7500 0.2500 0.5000

Calculated values
DOS(E_F) (states/eV per cell): 6.37
Space group: No. 139
Energy of formation (eV/atom): -0.83

=====

A relaxed structure of CeAs4Pd12, computed with PBE.

a b c (Å): 7.4365 7.4365 7.4365
angles (deg): 109.47 109.47 109.47
Fractional coordinates of all 17 atoms:
Ce 0.0000 0.0000 0.0000
As 0.0000 0.5000 0.0000
As 0.5000 0.0000 0.0000
As 0.5000 0.5000 0.5000
As 0.0000 0.0000 0.5000
Pd 0.8370 0.3425 0.1795
Pd 0.3425 0.5056 0.1630
Pd 0.8205 0.1630 0.6575
Pd 0.3425 0.1795 0.8370
Pd 0.1795 0.8370 0.3425
Pd 0.6575 0.4944 0.8370
Pd 0.5056 0.1630 0.3425
Pd 0.4944 0.8370 0.6575
Pd 0.6575 0.8205 0.1630
Pd 0.8370 0.6575 0.4944
Pd 0.1630 0.3425 0.5056
Pd 0.1630 0.6575 0.8205

Calculated values
DOS(E_F) (states/eV per cell): 10.03
Space group: No. 204
Energy of formation (eV/atom): -0.26